# 1
## YZn2Ag5 (GGA-PBE)

Data for a geometry-optimized YZn2Ag5 structure.

Output
Final energy (eV/atom): -3.022
Crystal system: orthorhombic
Total magnetization (μB per formula unit): 0.0
Energy of formation from the pure elements (kcal/mol of atoms): -2.6
Density (Mg/m³): 8.2

a = 3.543 Å, b = 6.902 Å, c = 6.902 Å
α = 72.98°, β = 75.13°, γ = 75.13°
Atoms (fractional coordinates):
Ag: 0.638 0.573 0.151
Ag: 0.638 0.151 0.573
Ag: 0.362 0.427 0.849
Y: 0.000 0.000 0.000
Zn: 0.742 0.758 0.758
Ag: 0.362 0.849 0.427
Ag: 0.000 0.500 0.500
Zn: 0.258 0.242 0.242



# 2
## YZn12Ag6 (GGA-PBE)

Data for a geometry-optimized YZn12Ag6 structure.

Output
Final energy (eV/atom): -2.049
Crystal system: trigonal
Total magnetization (μB per formula unit): 0.0
Energy of formation from the pure elements (kcal/mol of atoms): -0.1
Density (Mg/m³): 7.4

a = 7.289 Å, b = 7.289 Å, c = 7.289 Å
α = 104.70°, β = 104.70°, γ = 104.70°
Atoms (fractional coordinates):
Zn: 0.126 0.371 0.371
Zn: 0.371 0.371 0.126
Y: 0.000 0.000 0.000
Ag: 0.710 0.296 0.296
Zn: 0.500 0.892 0.108
Zn: 0.629 0.629 0.874
Ag: 0.704 0.290 0.704
Zn: 0.874 0.629 0.629
Ag: 0.296 0.710 0.296
Zn: 0.108 0.500 0.892
Ag: 0.704 0.704 0.290
Ag: 0.290 0.704 0.704
Zn: 0.892 0.500 0.108
Ag: 0.296 0.296 0.710
Zn: 0.500 0.108 0.892
Zn: 0.371 0.126 0.371
Zn: 0.629 0.874 0.629
Zn: 0.892 0.108 0.500
Zn: 0.108 0.892 0.500



# 3
## YZn2Ag2 (GGA-PBE)

Data for a geometry-optimized YZn2Ag2 structure.

Output
Final energy (eV/atom): -3.105
Crystal system: orthorhombic
Relative energy among the computed polymorphs (meV/atom): 74
Total magnetization (μB per formula unit): 0.0
Energy of formation from the pure elements (kcal/mol of atoms): -3.7
Density (Mg/m³): 7.2

a = 3.653 Å, b = 6.789 Å, c = 8.418 Å
α = 90.00°, β = 90.00°, γ = 105.60°
Atoms (fractional coordinates):
Y: 0.085 0.169 0.750
Ag: 0.410 0.819 0.917
Ag: 0.410 0.819 0.583
Zn: 0.242 0.484 0.394
Ag: 0.590 0.181 0.417
Zn: 0.758 0.516 0.894
Zn: 0.242 0.484 0.106
Ag: 0.590 0.181 0.083
Zn: 0.758 0.516 0.606
Y: 0.915 0.831 0.250



# 4
## Y2Zn3Ag4 (GGA-PBE)

Data for a geometry-optimized Y2Zn3Ag4 structure.

Output
Final energy (eV/atom): -3.445
Crystal system: orthorhombic
Total magnetization (μB per formula unit): 0.0
Energy of formation from the pure elements (kcal/mol of atoms): -7.3
Density (Mg/m³): 7.8

a = 5.270 Å, b = 5.326 Å, c = 7.526 Å
α = 80.02°, β = 69.50°, γ = 60.35°
Atoms (fractional coordinates):
Y: 0.370 0.000 0.261
Ag: 0.010 0.322 0.657
Ag: 0.668 0.322 0.343
Zn: 0.000 0.000 0.000
Zn: 0.500 0.500 0.000
Y: 0.630 0.000 0.739
Zn: 0.000 0.500 0.000
Ag: 0.990 0.678 0.343
Ag: 0.332 0.678 0.657



# 5
## Y5ZnAg4 (GGA-PBE)

Data for a geometry-optimized Y5ZnAg4 structure.

Output
Final energy (eV/atom): -4.842
Crystal system: tetragonal
Total magnetization (μB per formula unit): 0.0
Energy of formation from the pure elements (kcal/mol of atoms): -7.9
Density (Mg/m³): 6.5

a = 3.614 Å, b = 3.614 Å, c = 18.303 Å
α = 90.00°, β = 90.00°, γ = 90.00°
Atoms (fractional coordinates):
Y: 0.500 0.500 0.904
Ag: 0.000 0.000 0.399
Y: 0.500 0.500 0.298
Y: 0.500 0.500 0.096
Ag: 0.000 0.000 0.196
Zn: 0.000 0.000 0.000
Ag: 0.000 0.000 0.601
Ag: 0.000 0.000 0.804
Y: 0.500 0.500 0.500
Y: 0.500 0.500 0.702



# 6
## Y4Zn3Ag (GGA-PBE)

Data for a geometry-optimized Y4Zn3Ag structure.

Output
Final energy (eV/atom): -4.420
Crystal system: trigonal
Total magnetization (μB per formula unit): 0.0
Energy of formation from the pure elements (kcal/mol of atoms): -8.2
Density (Mg/m³): 5.9

a = 5.088 Å, b = 5.088 Å, c = 8.815 Å
α = 73.23°, β = 73.23°, γ = 60.00°
Atoms (fractional coordinates):
Y: 0.127 0.127 0.620
Zn: 0.249 0.249 0.253
Y: 0.377 0.377 0.870
Zn: 0.500 0.500 0.500
Y: 0.623 0.623 0.130
Ag: 0.000 0.000 0.000
Zn: 0.751 0.751 0.747
Y: 0.873 0.873 0.380



# 7
## YZn6Ag4 (GGA-PBE)

Data for a geometry-optimized YZn6Ag4 structure.

Output
Final energy (eV/atom): -2.288
Crystal system: tetragonal
Total magnetization (μB per formula unit): 0.0
Energy of formation from the pure elements (kcal/mol of atoms): 0.7
Density (Mg/m³): 6.9

a = 6.819 Å, b = 6.819 Å, c = 6.819 Å
α = 88.06°, β = 121.13°, γ = 121.13°
Atoms (fractional coordinates):
Zn: 0.500 0.000 0.500
Ag: 0.000 0.239 0.585
Ag: 0.345 0.761 0.761
Zn: 0.000 0.889 0.485
Zn: 0.596 0.111 0.111
Ag: 0.000 0.585 0.239
Ag: 0.655 0.415 0.415
Zn: 0.500 0.500 0.000
Zn: 0.000 0.485 0.889
Zn: 0.404 0.515 0.515
Y: 0.000 0.000 0.000



# 8
## YZnAg2 (GGA-PBE)

Data for a geometry-optimized YZnAg2 structure.

Output
Final energy (eV/atom): -3.589
Crystal system: tetragonal
Total magnetization (μB per formula unit): 0.0
Energy of formation from the pure elements (kcal/mol of atoms): -5.3
Density (Mg/m³): 7.7

a = 5.026 Å, b = 5.026 Å, c = 4.558 Å
α = 63.06°, β = 63.06°, γ = 53.98°
Atoms (fractional coordinates):
Ag: 0.750 0.750 0.750
Zn: 0.250 0.250 0.250
Y: 0.500 0.500 0.500
Ag: 0.000 0.000 0.000